1.
A relaxed RbNi2PtPb crystal. Source: Alexandria, functional PBE.

Output
DFT formation energy, meV per atom: 1735

Cell lengths 4.615, 4.615, 5.663 Å; angles 90.00, 90.00, 90.00 degrees
Sites, in units of the cell vectors:
Rb: 0.000 0.000 0.000
Ni: 0.000 0.500 0.000
Ni: 0.500 0.000 0.000
Pt: 0.000 0.000 0.500
Pb: 0.500 0.500 0.500

2.
A relaxed Ba2TaTc2 crystal. Source: Alexandria, functional PBE.

Output
Energy above the lowest structure with this stoichiometry, kJ/mol of formula units: 0
DFT formation energy, meV per atom: 733

Cell lengths 6.667, 6.667, 5.793 Å; angles 90.00, 90.00, 90.00 degrees
Sites, in units of the cell vectors:
Ba: 0.179 0.321 0.000
Ba: 0.321 0.821 0.000
Ba: 0.679 0.179 0.000
Ba: 0.821 0.679 0.000
Ta: 0.000 0.000 0.500
Ta: 0.500 0.500 0.500
Tc: 0.129 0.629 0.500
Tc: 0.371 0.129 0.500
Tc: 0.629 0.871 0.500
Tc: 0.871 0.371 0.500

Magnetization values, unit μB/atom, following the record order: 0.0000 0.0000.